1.
YErRe4 | PBE-GGA | optimized geometry

Its total magnetic moment is 0.000 Bohr magnetons per cell. The calculated formation energy is -0.20 eV per atom.

The structure belongs to space group F-43m (No. 216); the cell edges are 7.6521, 7.6521 and 7.6521 Å and the angles 90.00°, 90.00° and 90.00°. The asymmetric unit holds Y at (0.0000, 0.0000, 0.0000), Er at (0.2500, 0.2500, 0.2500) and Re at (0.1249, 0.1249, 0.6249).

---

2.
ErZnRe | PBE-GGA | optimized geometry

Its total magnetic moment is 0.001 Bohr magnetons per cell. The calculated formation energy is -0.01 eV per atom.

The structure belongs to space group C2/m (No. 12); the cell edges are 7.5638, 4.3554 and 7.9914 Å and the angles 90.00°, 108.37° and 90.00°. The asymmetric unit holds Er at (0.2178, 0.0000, 0.1559), Zn at (0.0583, 0.0000, 0.6735) and Re at (0.1559, 0.5000, 0.4675).

---

3.
Er2ZnRe | PBE-GGA | optimized geometry

Its total magnetic moment is 0.000 Bohr magnetons per cell. The calculated formation energy is -0.08 eV per atom.

The structure belongs to space group P4/mmm (No. 123); the cell edges are 3.4604, 3.4604 and 7.0827 Å and the angles 90.00°, 90.00° and 90.00°. The asymmetric unit holds Er at (0.0000, 0.0000, 0.2309), Zn at (0.5000, 0.5000, 0.5000) and Re at (0.5000, 0.5000, 0.0000).

---

4.
Er2ZnRe | PBE-GGA | optimized geometry

Its total magnetic moment is 0.002 Bohr magnetons per cell. The calculated formation energy is 0.65 eV per atom.

The structure belongs to space group R-3m (No. 166, hexagonal axes); the cell edges are 3.0662, 3.0662 and 31.6032 Å and the angles 90.00°, 90.00° and 120.00°. The asymmetric unit holds Er at (0.0000, 0.0000, 0.0876), Zn at (0.0000, 0.0000, 0.5000) and Re at (0.0000, 0.0000, 0.0000).

---

5.
ErZrRe | PBE-GGA | optimized geometry

Its total magnetic moment is 0.000 Bohr magnetons per cell. The calculated formation energy is -0.03 eV per atom.

The structure belongs to space group Fddd (No. 70, origin choice 2); the cell edges are 5.2579, 10.1632 and 20.1677 Å and the angles 90.00°, 90.00° and 90.00°. The asymmetric unit holds Er at (0.1250, 0.2830, 0.1250), Zr at (0.1250, 0.1250, 0.5373) and Re at (0.1250, 0.1250, 0.0005).

---

6.
ErZrRe | PBE-GGA | optimized geometry

Its total magnetic moment is 0.000 Bohr magnetons per cell. The calculated formation energy is -0.04 eV per atom.

The structure belongs to space group I4mm (No. 107); the cell edges are 3.3562, 3.3562 and 12.1895 Å and the angles 90.00°, 90.00° and 90.00°. The asymmetric unit holds Er at (0.0000, 0.0000, 0.0000), Zr at (0.0000, 0.0000, 0.2633) and Re at (0.0000, 0.0000, 0.6465).

---

7.
ErZrRe4 | PBE-GGA | optimized geometry

Its total magnetic moment is 0.000 Bohr magnetons per cell. The calculated formation energy is -0.26 eV per atom.

The structure belongs to space group F-43m (No. 216); the cell edges are 7.5681, 7.5681 and 7.5681 Å and the angles 90.00°, 90.00° and 90.00°. The asymmetric unit holds Er at (0.0000, 0.0000, 0.0000), Zr at (0.2500, 0.2500, 0.7500) and Re at (0.1248, 0.1248, 0.3752).

---

8.
ErZr2Re | PBE-GGA | optimized geometry

Its total magnetic moment is 0.787 Bohr magnetons per cell. The calculated formation energy is -0.02 eV per atom.

The structure belongs to space group P4/mmm (No. 123); the cell edges are 3.3511, 3.3511 and 7.9715 Å and the angles 90.00°, 90.00° and 90.00°. The asymmetric unit holds Er at (0.0000, 0.0000, 0.0000), Zr at (0.5000, 0.5000, 0.3026) and Re at (0.0000, 0.0000, 0.5000).

---

9.
Er4Rh | PBE-GGA | optimized geometry

Its total magnetic moment is 0.000 Bohr magnetons per cell. The calculated formation energy is -0.23 eV per atom.

The structure belongs to space group Pm-3m (No. 221); the cell edges are 5.3482, 5.3482 and 5.3482 Å and the angles 90.00°, 90.00° and 90.00°. The asymmetric unit holds Er at (0.0000, 0.0000, 0.0000), Er at (0.0000, 0.5000, 0.5000) and Rh at (0.5000, 0.5000, 0.5000).

---

10.
Er4Rh | PBE-GGA | optimized geometry

Its total magnetic moment is 1.188 Bohr magnetons per cell. The calculated formation energy is -0.37 eV per atom.

The structure belongs to space group I-42d (No. 122); the cell edges are 8.5389, 8.5389 and 7.7977 Å and the angles 90.00°, 90.00° and 90.00°. The asymmetric unit holds Er at (0.0302, 0.1992, 0.3368) and Rh at (0.0000, 0.0000, 0.0000).

---

11.
ErRh | PBE-GGA | optimized geometry

Its total magnetic moment is 0.000 Bohr magnetons per cell. The calculated formation energy is -0.85 eV per atom.

The structure belongs to space group P2_1/m (No. 11); the cell edges are 3.4053, 4.5770 and 5.4652 Å and the angles 90.00°, 107.59° and 90.00°. The asymmetric unit holds Er at (0.1375, 0.2500, 0.2778) and Rh at (0.4115, 0.2500, 0.8190).

---

12.
Er3Rh4 | PBE-GGA | optimized geometry

Its total magnetic moment is 0.000 Bohr magnetons per cell. The calculated formation energy is -0.59 eV per atom.

The structure belongs to space group R-3m (No. 166, hexagonal axes); the cell edges are 4.6222, 4.6222 and 22.9485 Å and the angles 90.00°, 90.00° and 120.00°. The asymmetric unit holds Er at (0.0000, 0.0000, 0.0000), Er at (0.0000, 0.0000, 0.2396), Rh at (0.0000, 0.0000, 0.1212) and Rh at (0.0000, 0.0000, 0.3752).

---

13.
Er3Rh2 | PBE-GGA | optimized geometry

Its total magnetic moment is 0.000 Bohr magnetons per cell. The calculated formation energy is -0.82 eV per atom.

The structure belongs to space group I4/mcm (No. 140); the cell edges are 11.1356, 11.1356 and 25.0325 Å and the angles 90.00°, 90.00° and 90.00°. The asymmetric unit holds Er at (0.0000, 0.5000, 0.1127), Er at (0.0000, 0.5000, 0.2500), Er at (0.0750, 0.2042, 0.0714), Er at (0.0789, 0.2107, 0.3065), Er at (0.1505, 0.3495, 0.5000), Rh at (0.0000, 0.0000, 0.0000), Rh at (0.0000, 0.0000, 0.1326), Rh at (0.0000, 0.0000, 0.2500), Rh at (0.0976, 0.4024, 0.0000), Rh at (0.1535, 0.3465, 0.1884) and Rh at (0.1793, 0.3207, 0.3933).

---

14.
ErRh3 | PBE-GGA | optimized geometry

Its total magnetic moment is 0.000 Bohr magnetons per cell. The calculated formation energy is -0.40 eV per atom.

The structure belongs to space group Imm2 (No. 44); the cell edges are 3.0039, 9.0050 and 4.8472 Å and the angles 90.00°, 90.00° and 90.00°. The asymmetric unit holds Er at (0.0000, 0.0000, 0.0000), Rh at (0.0000, 0.2442, 0.6548) and Rh at (0.0000, 0.5000, 0.9867).

---

15.
Er4Rh | PBE-GGA | optimized geometry

Its total magnetic moment is 0.000 Bohr magnetons per cell. The calculated formation energy is 0.07 eV per atom.

The structure belongs to space group Fd-3m (No. 227, origin choice 2); the cell edges are 10.6573, 10.6573 and 10.6573 Å and the angles 90.00°, 90.00° and 90.00°. The asymmetric unit holds Er at (0.0140, 0.0140, 0.2360) and Rh at (0.1250, 0.1250, 0.6250).

---

16.
Er5Rh | PBE-GGA | optimized geometry

Its total magnetic moment is 0.000 Bohr magnetons per cell. The calculated formation energy is -0.18 eV per atom.

The structure belongs to space group Cmmm (No. 65); the cell edges are 3.7449, 16.1515 and 5.4072 Å and the angles 90.00°, 90.00° and 90.00°. The asymmetric unit holds Er at (0.0000, 0.0000, 0.0000), Er at (0.0000, 0.1304, 0.5000), Er at (0.0000, 0.3309, 0.0000) and Rh at (0.0000, 0.5000, 0.5000).

---

17.
Er2Rh7 | PBE-GGA | optimized geometry

Its total magnetic moment is 0.000 Bohr magnetons per cell. The calculated formation energy is -0.49 eV per atom.

The structure belongs to space group R-3m (No. 166, hexagonal axes); the cell edges are 5.2246, 5.2246 and 39.3087 Å and the angles 90.00°, 90.00° and 120.00°. The asymmetric unit holds Er at (0.0000, 0.0000, 0.0492), Er at (0.0000, 0.0000, 0.1471), Rh at (0.0000, 0.0000, 0.2775), Rh at (0.0000, 0.0000, 0.3895), Rh at (0.0000, 0.0000, 0.5000), Rh at (0.0000, 0.5000, 0.0000) and Rh at (0.0019, 0.5010, 0.8890).

---

18.
Er5Rh2 | PBE-GGA | optimized geometry

Its total magnetic moment is 0.000 Bohr magnetons per cell. The calculated formation energy is -0.63 eV per atom.

The structure belongs to space group C2/c (No. 15); the cell edges are 15.8869, 6.3551 and 7.1085 Å and the angles 90.00°, 97.25° and 90.00°. The asymmetric unit holds Er at (0.0000, 0.0747, 0.2500), Er at (0.0942, 0.3871, 0.9182), Er at (0.2188, 0.0708, 0.3124) and Rh at (0.1110, 0.2090, 0.5734).

---

19.
ErRh6 | PBE-GGA | optimized geometry

Its total magnetic moment is 0.000 Bohr magnetons per cell. The calculated formation energy is -0.23 eV per atom.

The structure belongs to space group Pnma (No. 62); the cell edges are 8.4758, 5.1806 and 10.4038 Å and the angles 90.00°, 90.00° and 90.00°. The asymmetric unit holds Er at (0.2423, 0.2500, 0.0607), Rh at (0.0588, 0.7500, 0.0810), Rh at (0.0607, 0.0057, 0.3070), Rh at (0.1143, 0.2500, 0.5204), Rh at (0.1513, 0.7500, 0.8429) and Rh at (0.1855, 0.2500, 0.7678).

---

20.
Er3Rh2 | PBE-GGA | optimized geometry

Its total magnetic moment is 0.000 Bohr magnetons per cell. The calculated formation energy is -0.71 eV per atom.

The structure belongs to space group R-3c (No. 167, hexagonal axes); the cell edges are 6.7174, 6.7174 and 19.1165 Å and the angles 90.00°, 90.00° and 120.00°. The asymmetric unit holds Er at (0.0000, 0.3479, 0.2500) and Rh at (0.0000, 0.0000, 0.1721).